# CrSiPt2, optimized geometry, DFT GGA-PBE
# raw formation energy: -0.330 eV/atom
# calculated volume: 14.34 A^3/atom
# electronic total energy: -28.45 eV/cell
# magnetization: 1.81 μB/f.u.
data_CrSiPt2
_symmetry_space_group_name_H-M 'P 1'
_symmetry_Int_Tables_number 1
_cell_length_a 3.814
_cell_length_b 2.781
_cell_length_c 5.585
_cell_angle_alpha 75.57
_cell_angle_beta 90.00
_cell_angle_gamma 90.00
loop_
_symmetry_equiv_pos_as_xyz
'x,y,z'
loop_
_atom_site_label
_atom_site_type_symbol
_atom_site_fract_x
_atom_site_fract_y
_atom_site_fract_z
_atom_site_occupancy
Si1 Si 0.000 0.296 0.533 1
Cr1 Cr 0.500 0.701 0.723 1
Pt1 Pt 0.500 0.429 0.267 1
Pt2 Pt 0.000 0.074 0.976 1